This record from the Alexandria database describes a geometry-optimized AcPm4In2 structure. The functional is PBE.

Values from the calculation:
Its magnetic moment is 0.145 Bohr magnetons per cell. For the volume, the calculation gives 33.941 Å³ per atom. Its final energy is -3.943 eV/atom. For the density of states at the Fermi level, the calculation gives 8.0 states/eV/f.u. For the formation energy, the calculation gives 3.25 kcal/mol of atoms.

Cell: 6.1923 6.1923 7.5871 Å, 114.08 114.08 90.00°
Last column: nearest neighbours and their distance in Å.
Sites, in units of the cell vectors:
Pm1 0.2500 0.7500 0.5000  2 Pm 3.10, 4 In 3.45
Ac1 0.0000 0.0000 0.0000  4 Pm 3.10
Pm2 0.7500 0.2500 0.5000  2 Pm 3.10, 4 In 3.45
Pm3 0.0000 0.5000 0.0000  2 Ac 3.10, 2 Pm 3.10
Pm4 0.5000 0.0000 0.0000  2 Ac 3.10, 2 Pm 3.10
In1 0.3725 0.3725 0.7450  1 In 3.16, 8 Pm 3.45-3.48
In2 0.6275 0.6275 0.2550  1 In 3.16, 8 Pm 3.45-3.48